{
  "formula": "ZrIn3S",
  "functional": "PBE",
  "state": "optimized geometry",
  "cell": [[-0.3472, 4.8488, -1.6458], [-1.9856, -1.6480, -4.4364], [-4.7199, 0.3366, 1.9874]],
  "species": ["S", "Zr", "In", "In", "In"],
  "fractional_positions": [[0.0000, 0.0000, 0.0000], [0.5000, 0.5000, 0.5000], [0.0000, 0.5000, 0.0000], [0.0000, 0.0000, 0.5000], [0.5000, 0.0000, 0.0000]],
  "dft_energy_ev_per_atom": -3.67
}

=====

{
  "formula": "Sm2DyMgTl4",
  "functional": "PBE",
  "state": "optimized geometry",
  "cell": [[-2.9964, 3.5412, -2.5798], [-0.3529, -0.1767, -5.2932], [-8.1820, -4.3802, -1.9696]],
  "species": ["Sm", "Sm", "Dy", "Mg", "Tl", "Tl", "Tl", "Tl"],
  "fractional_positions": [[0.7576, 0.7576, 0.7273], [0.2424, 0.2424, 0.2727], [0.0000, 0.0000, 0.0000], [0.5000, 0.5000, 0.5000], [0.3740, 0.3740, 0.8780], [0.8772, 0.8772, 0.3684], [0.1228, 0.1228, 0.6316], [0.6260, 0.6260, 0.1220]],
  "formation_energy_ev_per_atom": -0.3093
}

=====

Volume values, unit Å³/atom, following the record order: 27.0, 27.4.